[1]
## Pm2ScTe (PBE)

Data for a relaxed Pm2ScTe crystal.

a = 3.9324 Å, b = 3.9324 Å, c = 28.7258 Å
α = 90.00°, β = 90.00°, γ = 120.00°
Space group R3m (No. 160, hexagonal axes)
Asymmetric unit:
Pm 0.0000 0.0000 0.0000 (multiplicity 3)
Pm 0.0000 0.0000 0.1817 (multiplicity 3)
Sc 0.0000 0.0000 0.4237 (multiplicity 3)
Te 0.0000 0.0000 0.5911 (multiplicity 3)

Properties
offset from the most stable computed form: 0.39 eV per formula unit
formation energy from raw total energies: -0.470 eV per atom

=====

[2]
## Li3Nd2USe6 (PBE)

Data for a relaxed Li3Nd2USe6 crystal.

a = 7.220 Å, b = 12.479 Å, c = 6.956 Å
α = 90.00°, β = 110.23°, γ = 90.00°
Space group C2/m (No. 12)
Asymmetric unit:
Li 0.000 0.000 0.000 (multiplicity 2)
Li 0.000 0.334 0.000 (multiplicity 4)
Nd 0.000 0.167 0.500 (multiplicity 4)
U 0.000 0.500 0.500 (multiplicity 2)
Se 0.239 0.500 0.242 (multiplicity 4)
Se 0.250 0.163 0.239 (multiplicity 8)

Properties
formation energy from raw total energies: -1.483 eV per atom

=====

[3]
## Ce4BiPb5 (PBE)

Data for a relaxed Ce4BiPb5 crystal.

a = 4.494 Å, b = 11.480 Å, c = 12.484 Å
α = 90.00°, β = 90.00°, γ = 90.00°
Space group Immm (No. 71)
Asymmetric unit:
Ce 0.000 0.000 0.185 (multiplicity 4)
Ce 0.000 0.222 0.500 (multiplicity 4)
Bi 0.000 0.500 0.500 (multiplicity 2)
Pb 0.000 0.323 0.197 (multiplicity 8)
Pb 0.000 0.500 0.000 (multiplicity 2)

Properties
ΔH_f (0 K): -0.380 eV per atom
offset from the most stable computed form: 0.00 eV per formula unit